DFT (PBE) results for an optimized crystal structure of NpTaSe4.

The structure in POSCAR format:
```
NpTaSe4
1.0
7.849 0.000 0.000
0.000 6.129 0.000
-3.575 0.000 6.647
Np Ta Se
2 2 8
direct
0.000 0.000 0.000
0.000 0.500 0.500
0.500 0.000 0.000
0.500 0.500 0.500
0.203 0.241 0.848
0.203 0.259 0.348
0.349 0.747 0.668
0.349 0.753 0.168
0.651 0.247 0.832
0.651 0.253 0.332
0.797 0.741 0.652
0.797 0.759 0.152
```

Calculated values
- ΔE_f (raw) (eV/atom) = -0.76
- D(E_F) (states/eV per atom) = 1.386
- energy relative to the lowest polymorph listed for this composition (eV/atom) = 0.000

DFT (PBE) results for an optimized crystal structure of ZrZn2Se.

The structure in POSCAR format:
```
ZrZn2Se
1.0
4.332 0.000 0.000
0.000 3.377 0.000
-1.307 0.000 5.132
Zr Zn Se
1 2 1
direct
0.000 0.000 0.000
0.000 0.500 0.500
0.500 0.000 0.500
0.500 0.500 0.000
```

Calculated values
- ΔE_f (raw) (eV/atom) = -0.32
- D(E_F) (states/eV per atom) = 0.628

DFT (PBE) results for an optimized crystal structure of CuSbSCl2.

The structure in POSCAR format:
```
CuSbSCl2
1.0
4.617 0.000 0.000
0.000 4.617 0.000
0.000 0.000 4.804
Cu Sb S Cl
1 1 1 2
direct
0.000 0.000 0.000
0.500 0.500 0.500
0.000 0.000 0.500
0.000 0.500 0.000
0.500 0.000 0.000
```

Calculated values
- ΔE_f (raw) (eV/atom) = 0.00
- D(E_F) (states/eV per atom) = 0.653

DFT (PBE) results for an optimized crystal structure of SmYThN3.

The structure in POSCAR format:
```
SmYThN3
1.0
6.132 0.000 0.000
0.000 3.561 0.000
-1.780 0.000 9.031
Sm Y Th N
2 2 2 6
direct
0.159 0.250 0.194
0.841 0.750 0.806
0.349 0.250 0.868
0.651 0.750 0.132
0.265 0.750 0.549
0.735 0.250 0.451
0.043 0.250 0.666
0.255 0.750 0.003
0.460 0.750 0.345
0.540 0.250 0.655
0.745 0.250 0.997
0.957 0.750 0.334
```

Calculated values
- ΔE_f (raw) (eV/atom) = -1.42
- D(E_F) (states/eV per atom) = 0.441

DFT (PBE) results for an optimized crystal structure of RePdSCl2.

The structure in POSCAR format:
```
RePdSCl2
1.0
4.879 0.000 0.000
0.000 4.879 0.000
0.000 0.000 4.485
Re Pd S Cl
1 1 1 2
direct
0.000 0.000 0.000
0.500 0.500 0.500
0.000 0.000 0.500
0.000 0.500 0.000
0.500 0.000 0.000
```

Calculated values
- ΔE_f (raw) (eV/atom) = 0.46
- D(E_F) (states/eV per atom) = 1.742
- energy relative to the lowest polymorph listed for this composition (eV/atom) = 0.000

DFT (PBE) results for an optimized crystal structure of CoAs.

The structure in POSCAR format:
```
CoAs
1.0
3.361 0.000 0.000
0.000 4.460 0.000
-1.669 0.000 4.025
Co As
2 2
direct
0.211 0.250 0.423
0.789 0.750 0.577
0.099 0.750 0.194
0.901 0.250 0.806
```

Calculated values
- D(E_F) (states/eV per atom) = 0.748
- energy relative to the elements (eV/atom) = -0.0924